Record 1
{
  "formula": "Cs3Mn2S4",
  "functional": "PBE",
  "state": "relaxed",
  "lattice_angstrom": [[-0.4778, 5.4315, 4.6806], [-3.8591, -4.9694, 6.8517], [6.9212, -2.8682, 5.5140]],
  "species": ["Cs", "Cs", "Cs", "Cs", "Cs", "Cs", "S", "S", "S", "S", "S", "S", "S", "S", "Mn", "Mn", "Mn", "Mn"],
  "fractional_positions": [[0.0532, 0.0108, 0.7355], [0.5532, 0.7355, 0.0108], [0.7500, 0.4046, 0.5954], [0.2500, 0.5954, 0.4046], [0.4468, 0.2645, 0.9892], [0.9468, 0.9892, 0.2645], [0.0327, 0.6575, 0.0639], [0.3673, 0.6360, 0.7333], [0.1327, 0.2667, 0.3640], [0.5327, 0.0639, 0.6575], [0.8673, 0.7333, 0.6360], [0.4673, 0.9361, 0.3425], [0.9673, 0.3425, 0.9361], [0.6327, 0.3640, 0.2667], [0.9449, 0.4054, 0.1664], [0.4449, 0.1664, 0.4054], [0.5551, 0.8336, 0.5946], [0.0551, 0.5946, 0.8336]],
  "mass_density_g_cm3": 3.6,
  "e_tot_ha_per_atom": -0.186,
  "formation_energy_uncorrected_ev_per_fu": -8.3,
  "sg": "No. 15"
}

Record 2
{
  "formula": "LiBe2Re",
  "functional": "PBE",
  "state": "relaxed",
  "lattice_angstrom": [[-0.9214, 3.0778, -3.5848], [-4.4393, 1.7852, -0.5279], [3.9677, -0.4827, 2.6828]],
  "species": ["Re", "Be", "Be", "Li"],
  "fractional_positions": [[0.2390, 0.7390, 0.5000], [0.7621, 0.2621, 0.5000], [0.9774, 0.9774, 0.0000], [0.5214, 0.5214, 0.0000]],
  "polymorph_energy_mev_per_atom": 124.0,
  "mass_density_g_cm3": 8.0,
  "e_tot_ha_per_atom": -0.197,
  "sg": "No. 44"
}

Record 3
{
  "formula": "Rb2HgF12",
  "functional": "PBE",
  "state": "relaxed",
  "lattice_angstrom": [[-2.2425, -4.9408, 3.7848], [-0.4086, -3.3778, -4.5028], [13.6702, -2.7950, 2.2006]],
  "species": ["F", "F", "F", "F", "F", "F", "F", "F", "F", "F", "F", "F", "F", "F", "F", "F", "F", "F", "F", "F", "F", "F", "F", "F", "Hg", "Hg", "Rb", "Rb", "Rb", "Rb"],
  "fractional_positions": [[0.8581, 0.7554, 0.5142], [0.7189, 0.2896, 0.5496], [0.1107, 0.7238, 0.9161], [0.8925, 0.0661, 0.3189], [0.3892, 0.2632, 0.0820], [0.8891, 0.7635, 0.0820], [0.1419, 0.2446, 0.4858], [0.6419, 0.7446, 0.4858], [0.6961, 0.0485, 0.2065], [0.3040, 0.9516, 0.7936], [0.3581, 0.2554, 0.5142], [0.2189, 0.7896, 0.5496], [0.8039, 0.4515, 0.7935], [0.6075, 0.4339, 0.6811], [0.3925, 0.5661, 0.3189], [0.1108, 0.2368, 0.9180], [0.6109, 0.7365, 0.9180], [0.3893, 0.7762, 0.0839], [0.6108, 0.2235, 0.9161], [0.1960, 0.5484, 0.2064], [0.8892, 0.2765, 0.0839], [0.7811, 0.2104, 0.4504], [0.2811, 0.7104, 0.4504], [0.1075, 0.9339, 0.6811], [0.0000, 0.5002, 0.0000], [0.5000, 0.9998, 0.0000], [0.2948, 0.0594, 0.2694], [0.7052, 0.9406, 0.7305], [0.7948, 0.5594, 0.2695], [0.2052, 0.4406, 0.7306]],
  "mass_density_g_cm3": 3.8,
  "e_tot_ha_per_atom": -0.099,
  "formation_energy_uncorrected_ev_per_fu": -15.8,
  "sg": "No. 2"
}